1.
# CrFe2PbSe | the Alexandria database | PBE | relaxed
# **V**: 19.34 A^3/atom
# **Energy relative to the elements, uncorrected**: 798 meV/atom
# **Calculated total energy**: -29.75 eV/f.u.
data_CrFe2PbSe
_chemical_formula_sum 'Cr1 Fe2 Pb1 Se1'
_symmetry_space_group_name_H-M 'P 4/m m m'
_symmetry_Int_Tables_number 123
_symmetry_space_group_name_Hall '-P 4 2'
_cell_length_a 4.634
_cell_length_b 4.634
_cell_length_c 4.504
_cell_angle_alpha 90.00
_cell_angle_beta 90.00
_cell_angle_gamma 90.00
loop_
_atom_site_label
_atom_site_type_symbol
_atom_site_fract_x
_atom_site_fract_y
_atom_site_fract_z
Cr1 Cr 0.000 0.000 0.000
Fe1 Fe 0.000 0.500 0.000
Pb1 Pb 0.500 0.500 0.500
Se1 Se 0.000 0.000 0.500


2.
# CrFe2PbSe | the Alexandria database | PBE | relaxed
# **V**: 25.77 A^3/atom
# **Energy relative to the elements, uncorrected**: 1968 meV/atom
# **Calculated total energy**: -23.90 eV/f.u.
data_CrFe2PbSe
_chemical_formula_sum 'Cr1 Fe2 Pb1 Se1'
_symmetry_space_group_name_H-M 'P 4/m m m'
_symmetry_Int_Tables_number 123
_symmetry_space_group_name_Hall '-P 4 2'
_cell_length_a 4.797
_cell_length_b 4.797
_cell_length_c 5.600
_cell_angle_alpha 90.00
_cell_angle_beta 90.00
_cell_angle_gamma 90.00
loop_
_atom_site_label
_atom_site_type_symbol
_atom_site_fract_x
_atom_site_fract_y
_atom_site_fract_z
Cr1 Cr 0.000 0.000 0.000
Fe1 Fe 0.000 0.500 0.500
Pb1 Pb 0.500 0.500 0.500
Se1 Se 0.500 0.500 0.000


3.
# TaCr2FePb | the Alexandria database | PBE | relaxed
# **V**: 21.53 A^3/atom
# **Calculated total energy**: -36.38 eV/f.u.
data_TaCr2FePb
_chemical_formula_sum 'Ta1 Cr2 Fe1 Pb1'
_symmetry_space_group_name_H-M 'P 4/m m m'
_symmetry_Int_Tables_number 123
_symmetry_space_group_name_Hall '-P 4 2'
_cell_length_a 4.818
_cell_length_b 4.818
_cell_length_c 4.638
_cell_angle_alpha 90.00
_cell_angle_beta 90.00
_cell_angle_gamma 90.00
loop_
_atom_site_label
_atom_site_type_symbol
_atom_site_fract_x
_atom_site_fract_y
_atom_site_fract_z
Ta1 Ta 0.000 0.000 0.000
Cr1 Cr 0.000 0.500 0.000
Fe1 Fe 0.000 0.000 0.500
Pb1 Pb 0.500 0.500 0.500


4.
# CrFe6Pd12 | the Alexandria database | PBE | relaxed
# **V**: 14.48 A^3/atom
# **Calculated total energy**: -123.73 eV/f.u.
data_CrFe6Pd12
_chemical_formula_sum 'Cr3 Fe18 Pd36'
_symmetry_space_group_name_H-M 'R -3'
_symmetry_Int_Tables_number 148
_symmetry_space_group_name_Hall '-R 3'
_cell_length_a 11.9350
_cell_length_b 11.9350
_cell_length_c 6.6915
_cell_angle_alpha 90.00
_cell_angle_beta 90.00
_cell_angle_gamma 120.00
loop_
_atom_site_label
_atom_site_type_symbol
_atom_site_fract_x
_atom_site_fract_y
_atom_site_fract_z
Cr1 Cr 0.0000 0.0000 0.0000
Fe1 Fe 0.0301 0.7525 0.3326
Pd1 Pd 0.0090 0.8696 0.6639
Pd2 Pd 0.0655 0.5070 0.6718


5.
# CrFe2Pd9 | the Alexandria database | PBE | relaxed
# **V**: 14.81 A^3/atom
# **Calculated total energy**: -74.38 eV/f.u.
data_CrFe2Pd9
_chemical_formula_sum 'Cr1 Fe2 Pd9'
_symmetry_space_group_name_H-M 'P 4/m m m'
_symmetry_Int_Tables_number 123
_symmetry_space_group_name_Hall '-P 4 2'
_cell_length_a 3.896
_cell_length_b 3.896
_cell_length_c 11.705
_cell_angle_alpha 90.00
_cell_angle_beta 90.00
_cell_angle_gamma 90.00
loop_
_atom_site_label
_atom_site_type_symbol
_atom_site_fract_x
_atom_site_fract_y
_atom_site_fract_z
Cr1 Cr 0.000 0.000 0.000
Fe1 Fe 0.000 0.000 0.333
Pd1 Pd 0.000 0.500 0.169
Pd2 Pd 0.000 0.500 0.500
Pd3 Pd 0.500 0.500 0.000
Pd4 Pd 0.500 0.500 0.335


6.
# CrFePd | the Alexandria database | PBE | relaxed
# **V**: 14.27 A^3/atom
# **Calculated total energy**: -22.59 eV/f.u.
data_CrFePd
_chemical_formula_sum 'Cr1 Fe1 Pd1'
_symmetry_space_group_name_H-M 'P 3 m 1'
_symmetry_Int_Tables_number 156
_cell_length_a 4.2903
_cell_length_b 4.2903
_cell_length_c 2.6856
_cell_angle_alpha 90.00
_cell_angle_beta 90.00
_cell_angle_gamma 120.00
loop_
_symmetry_equiv_pos_as_xyz
'x,y,z'
'-y,x-y,z'
'-x+y,-x,z'
'-y,-x,z'
'-x+y,y,z'
'x,x-y,z'
loop_
_atom_site_label
_atom_site_type_symbol
_atom_site_fract_x
_atom_site_fract_y
_atom_site_fract_z
Cr1 Cr 0.0000 0.0000 0.0000
Fe1 Fe 0.6667 0.3333 0.5023
Pd1 Pd 0.3333 0.6667 0.4991


7.
# Cr2FePd9 | the Alexandria database | PBE | relaxed
# **V**: 14.82 A^3/atom
# **Calculated total energy**: -75.47 eV/f.u.
data_Cr2FePd9
_chemical_formula_sum 'Cr2 Fe1 Pd9'
_symmetry_space_group_name_H-M 'P 4/m m m'
_symmetry_Int_Tables_number 123
_symmetry_space_group_name_Hall '-P 4 2'
_cell_length_a 3.898
_cell_length_b 3.898
_cell_length_c 11.705
_cell_angle_alpha 90.00
_cell_angle_beta 90.00
_cell_angle_gamma 90.00
loop_
_atom_site_label
_atom_site_type_symbol
_atom_site_fract_x
_atom_site_fract_y
_atom_site_fract_z
Cr1 Cr 0.000 0.000 0.165
Fe1 Fe 0.000 0.000 0.500
Pd1 Pd 0.000 0.500 0.000
Pd2 Pd 0.000 0.500 0.335
Pd3 Pd 0.500 0.500 0.167
Pd4 Pd 0.500 0.500 0.500


8.
# CrFe4Pd15 | the Alexandria database | PBE | relaxed
# **V**: 14.79 A^3/atom
# **Calculated total energy**: -123.22 eV/f.u.
data_CrFe4Pd15
_chemical_formula_sum 'Cr1 Fe4 Pd15'
_symmetry_space_group_name_H-M 'P 4/m m m'
_symmetry_Int_Tables_number 123
_symmetry_space_group_name_Hall '-P 4 2'
_cell_length_a 3.903
_cell_length_b 3.903
_cell_length_c 19.420
_cell_angle_alpha 90.00
_cell_angle_beta 90.00
_cell_angle_gamma 90.00
loop_
_atom_site_label
_atom_site_type_symbol
_atom_site_fract_x
_atom_site_fract_y
_atom_site_fract_z
Cr1 Cr 0.000 0.000 0.000
Fe1 Fe 0.000 0.000 0.200
Fe2 Fe 0.000 0.000 0.400
Pd1 Pd 0.000 0.500 0.102
Pd2 Pd 0.000 0.500 0.301
Pd3 Pd 0.000 0.500 0.500
Pd4 Pd 0.500 0.500 0.000
Pd5 Pd 0.500 0.500 0.201
Pd6 Pd 0.500 0.500 0.400